Record 1
First-principles (GGA-PBE) data for a geometry-optimized CeSi4Ni12 structure, as listed in Alexandria via LeMat-Bulk.

Structure (extended XYZ):
```
17
Lattice="-3.891 3.891 3.891 3.891 -3.891 3.891 3.891 3.891 -3.891" Properties=species:S:1:pos:R:3 pbc="T T T"
Ce 0.000 0.000 0.000
Si 1.945 1.945 -1.945
Si 1.945 -1.945 1.945
Si -1.945 1.945 1.945
Si 1.945 1.945 1.945
Ni 2.729 1.242 0.000
Ni 5.053 1.242 0.000
Ni 3.891 -1.162 2.649
Ni 2.649 3.891 -1.162
Ni 1.242 0.000 2.729
Ni 3.891 1.162 2.649
Ni 0.000 2.729 1.242
Ni 2.649 3.891 1.162
Ni 1.242 0.000 5.053
Ni 0.000 5.053 1.242
Ni -1.162 2.649 3.891
Ni 1.162 2.649 3.891
```

Properties
**SG**: Im-3, No. 204
**VASP energy**: -5.734 eV per atom
**Formation energy (no corrections)**: -0.65 kcal/mol of atoms

---

Record 2
First-principles (GGA-PBE) data for a geometry-optimized CeSiNi5 structure, as listed in Alexandria via LeMat-Bulk.

Structure (extended XYZ):
```
28
Lattice="7.784 0.000 0.000 0.000 4.893 0.000 0.000 0.000 9.785" Properties=species:S:1:pos:R:3 pbc="T T T"
Ce 1.900 1.223 0.509
Ce 1.992 3.670 5.401
Ce 5.792 1.223 4.384
Ce 5.884 3.670 9.276
Si 1.238 3.670 8.321
Si 2.654 1.223 3.429
Si 5.130 3.670 6.357
Si 6.546 1.223 1.464
Ni 0.470 0.044 2.913
Ni 0.470 2.402 2.913
Ni 0.535 3.670 0.777
Ni 0.760 1.223 5.057
Ni 1.439 1.223 7.477
Ni 2.453 3.670 2.584
Ni 3.132 3.670 0.165
Ni 3.357 1.223 5.670
Ni 3.422 2.491 7.805
Ni 3.422 4.849 7.805
Ni 4.362 0.044 1.980
Ni 4.362 2.402 1.980
Ni 4.428 3.670 4.115
Ni 4.652 1.223 9.621
Ni 5.331 1.223 7.201
Ni 6.345 3.670 2.308
Ni 7.024 3.670 4.728
Ni 7.249 1.223 9.008
Ni 7.314 2.491 6.872
Ni 7.314 4.849 6.872
```

Properties
**SG**: Pnma, No. 62
**VASP energy**: -6.188 eV per atom
**Formation energy (no corrections)**: -10.06 kcal/mol of atoms

---

Record 3
First-principles (GGA-PBE) data for a geometry-optimized CeSi2Ni5 structure, as listed in Alexandria via LeMat-Bulk.

Structure (extended XYZ):
```
8
Lattice="-1.827 3.275 4.576 1.827 -3.275 4.576 1.827 3.275 -4.576" Properties=species:S:1:pos:R:3 pbc="T T T"
Ce 0.000 0.000 0.000
Si 1.827 0.000 2.347
Si 0.000 3.275 2.229
Ni 1.827 2.040 -1.349
Ni 1.827 2.040 1.349
Ni 0.000 3.275 0.000
Ni 0.000 1.235 3.226
Ni 0.000 1.235 5.925
```

Properties
**SG**: Immm, No. 71
**VASP energy**: -6.279 eV per atom
**Formation energy (no corrections)**: -13.10 kcal/mol of atoms

---

Record 4
First-principles (GGA-PBE) data for a geometry-optimized Ce2SiNi structure, as listed in Alexandria via LeMat-Bulk.

Structure (extended XYZ):
```
4
Lattice="4.321 0.000 0.000 0.000 4.321 0.000 0.000 0.000 4.206" Properties=species:S:1:pos:R:3 pbc="T T T"
Ce 0.000 2.160 0.000
Ce 2.160 0.000 0.000
Si 0.000 0.000 2.103
Ni 2.160 2.160 2.103
```

Properties
**SG**: P4/mmm, No. 123
**VASP energy**: -6.143 eV per atom
**ΔE to the lowest computed polymorph**: 0.180 eV per atom
**Formation energy (no corrections)**: -8.66 kcal/mol of atoms

---

Record 5
First-principles (GGA-PBE) data for a geometry-optimized Ce2Si3Ni5 structure, as listed in Alexandria via LeMat-Bulk.

Structure (extended XYZ):
```
20
Lattice="-4.949 5.398 2.859 4.949 -5.398 2.859 4.949 5.398 -2.859" Properties=species:S:1:pos:R:3 pbc="T T T"
Ce 2.348 1.367 0.000
Ce 2.348 -1.367 2.859
Ce 2.601 6.766 0.000
Ce 2.601 4.031 2.859
Si 3.801 -3.995 2.859
Si 4.949 0.000 1.429
Si 3.801 3.995 0.000
Si 1.148 1.404 2.859
Si 0.000 5.398 1.429
Si 1.148 9.393 0.000
Ni 4.949 -2.588 1.429
Ni 6.427 1.183 0.000
Ni 0.000 0.000 1.429
Ni 1.478 4.215 0.000
Ni 4.949 2.588 1.429
Ni 0.000 2.810 1.429
Ni 3.471 1.183 2.859
Ni 0.000 0.000 4.288
Ni -1.478 4.215 2.859
Ni 0.000 7.987 1.429
```

Properties
**SG**: Ibam, No. 72
**VASP energy**: -6.375 eV per atom
**ΔE to the lowest computed polymorph**: 0.000 eV per atom
**Formation energy (no corrections)**: -15.46 kcal/mol of atoms

---

Record 6
First-principles (GGA-PBE) data for a geometry-optimized Ce3Si4Ni structure, as listed in Alexandria via LeMat-Bulk.

Structure (extended XYZ):
```
8
Lattice="-2.247 2.850 6.935 2.247 -2.850 6.935 2.247 2.850 -6.935" Properties=species:S:1:pos:R:3 pbc="T T T"
Ce 0.000 0.000 0.000
Ce 2.247 0.000 4.308
Ce 0.000 2.850 2.628
Si 2.247 1.225 -1.594
Si 2.247 1.225 1.594
Si 0.000 1.625 5.341
Si 0.000 1.625 8.529
Ni 0.000 0.000 6.935
```

Properties
**SG**: Immm, No. 71
**VASP energy**: -6.176 eV per atom
**Formation energy (no corrections)**: -11.91 kcal/mol of atoms